Density functional theory data (PBE) for K2CaTiO4 after structural relaxation.

Calculated values
Electronic total energy   -104.13 eV/cell
Space-group type   No. 31
Magnetization   0.009 μB per atom

abc: 6.0237 7.1258 7.1181
angles: 90.00 90.00 90.00
Closest atoms and distances in Å follow each position.
Element x y z (fractional)
Ti 0.0021 0.1621 0.0000  4 O 1.82-1.86
Ti 0.5021 0.8379 0.5000  4 O 1.82-1.86
O 0.9340 0.2913 0.2202  1 Ti 1.86
O 0.3020 0.1272 0.0000  1 Ti 1.82
O 0.8020 0.8728 0.5000  1 Ti 1.82
O 0.9340 0.2913 0.7798  1 Ti 1.86
O 0.8625 0.9325 0.0000  1 Ti 1.84
O 0.4340 0.7087 0.2798  1 Ti 1.86
O 0.4340 0.7087 0.7202  1 Ti 1.86
O 0.3625 0.0675 0.5000  1 Ti 1.84
Ca 0.9973 0.1343 0.5000  4 O 2.20-2.32
Ca 0.4973 0.8657 0.0000  4 O 2.20-2.32
K 0.4840 0.3336 0.7448  4 O 2.58-2.74
K 0.9840 0.6664 0.2448  4 O 2.58-2.74
K 0.9840 0.6664 0.7552  4 O 2.58-2.74
K 0.4840 0.3336 0.2552  4 O 2.58-2.74

Density functional theory data (PBE) for K2CaTlO4 after structural relaxation.

Calculated values
Electronic total energy   -37.84 eV/cell
Space-group type   No. 10
Magnetization   0.130 μB per atom

abc: 3.5418 6.0077 6.5148
angles: 107.57 90.00 90.00
Closest atoms and distances in Å follow each position.
Element x y z (fractional)
O 0.0000 0.2526 0.8094  1 Tl 2.23, 2 Ca 2.40
O 0.0000 0.7474 0.1906  1 Tl 2.23, 2 Ca 2.40
O 0.5000 0.2309 0.2023  1 Ca 2.37, 2 Tl 2.39
O 0.5000 0.7691 0.7977  1 Ca 2.37, 2 Tl 2.39
K 0.5000 0.0000 0.5000  6 O 2.70-2.77
K 0.0000 0.5000 0.5000  6 O 2.76-2.84
Tl 0.0000 0.0000 0.0000  6 O 2.23-2.39
Ca 0.5000 0.5000 0.0000  6 O 2.37-2.40

What is the formula in the first record? K2CaTiO4

Number 1 is which compound? K2CaTiO4

Which of these has the highest magnetization? K2CaTlO4

Which formula does entry 2 have? K2CaTlO4